First-principles (SCAN) data for CaNiAsSe2 at its PBEsol-relaxed geometry, as listed in Alexandria. Values from VASP.

Cell and atoms, written as Quantum ESPRESSO input:
```
&SYSTEM
  ibrav = 0, nat = 5, ntyp = 4
/
ATOMIC_SPECIES
Ni 58.69 Ni.upf
As 74.92 As.upf
Ca 40.08 Ca.upf
Se 78.96 Se.upf
ATOMIC_POSITIONS crystal
Ni 0.000 0.000 0.000
As 0.500 0.000 0.000
Ca 0.500 0.500 0.500
Se 0.000 0.000 0.500
Se 0.000 0.500 0.000
CELL_PARAMETERS angstrom
-2.576 -3.254 -1.100
1.328 0.559 -4.762
3.752 -3.198 0.671
```

Values from the calculation:
Calculated volume in Å³/cell: 106.3
Uncorrected formation energy in eV/atom: -0.550
Size of the total moment in μB/cell: 0.0